{"formula": "TmHf2Ni", "functional": "PBE", "state": "optimized geometry", "formation_energy_mev_per_atom": -83, "crystal_system": "tetragonal", "e_tot_ha_per_atom": -0.2802, "magnetic_moment_mub_per_fu": 0.0, "cell": [[3.251, 0.000, 0.000], [0.000, 3.251, 0.000], [0.000, 0.000, 7.771]], "species": ["Tm", "Hf", "Hf", "Ni"], "fractional_positions": [[0.000, 0.000, 0.000], [0.500, 0.500, 0.302], [0.500, 0.500, 0.698], [0.000, 0.000, 0.500]]}

=====

{"formula": "Tm2HfNi", "functional": "PBE", "state": "optimized geometry", "formation_energy_mev_per_atom": -140, "crystal_system": "tetragonal", "e_tot_ha_per_atom": -0.2319, "e_above_lowest_polymorph_mev_per_atom": 0, "magnetic_moment_mub_per_fu": 0.0, "cell": [[3.351, 0.000, 0.000], [0.000, 3.351, 0.000], [0.000, 0.000, 7.828]], "species": ["Tm", "Tm", "Hf", "Ni"], "fractional_positions": [[0.000, 0.000, 0.208], [0.000, 0.000, 0.792], [0.500, 0.500, 0.500], [0.500, 0.500, 0.000]]}

=====

{"formula": "TmHfZnNi", "functional": "PBE", "state": "optimized geometry", "formation_energy_mev_per_atom": -259, "crystal_system": "cubic", "e_tot_ha_per_atom": -0.2069, "magnetic_moment_mub_per_fu": 0.0, "cell": [[0.000, 3.332, 3.332], [3.332, 0.000, 3.332], [3.332, 3.332, 0.000]], "species": ["Tm", "Hf", "Zn", "Ni"], "fractional_positions": [[0.000, 0.000, 0.000], [0.500, 0.500, 0.500], [0.250, 0.250, 0.250], [0.750, 0.750, 0.750]]}

=====

Please write out number 3 again, unchanged.
{"formula": "TmHfZnNi", "functional": "PBE", "state": "optimized geometry", "formation_energy_mev_per_atom": -259, "crystal_system": "cubic", "e_tot_ha_per_atom": -0.2069, "magnetic_moment_mub_per_fu": 0.0, "cell": [[0.000, 3.332, 3.332], [3.332, 0.000, 3.332], [3.332, 3.332, 0.000]], "species": ["Tm", "Hf", "Zn", "Ni"], "fractional_positions": [[0.000, 0.000, 0.000], [0.500, 0.500, 0.500], [0.250, 0.250, 0.250], [0.750, 0.750, 0.750]]}